(1)
Below is a relaxed Sm5Cd4Hg crystal, with properties calculated at the GGA-PBE level.

a b c (Å): 3.816 3.816 18.989
angles (deg): 90.00 90.00 90.00
Sites, in units of the cell vectors:
Sm1 0.500 0.500 0.099
Sm2 0.500 0.500 0.299
Sm3 0.500 0.500 0.500
Sm4 0.500 0.500 0.701
Sm5 0.500 0.500 0.901
Cd1 0.000 0.000 0.200
Cd2 0.000 0.000 0.400
Cd3 0.000 0.000 0.600
Cd4 0.000 0.000 0.800
Hg1 0.000 0.000 0.000

Values from the calculation:
Final energy ... -31.03 eV for the cell shown
Formation energy from the elements ... -0.35 eV/atom
Density of states at the Fermi level ... 12.190 states/eV/f.u.

(2)
Below is a relaxed Sm5Cd2Hg crystal, with properties calculated at the GGA-PBE level.

a b c (Å): 7.811 7.811 9.617
angles (deg): 113.96 113.96 90.00
Sites, in units of the cell vectors:
Sm1 0.510 0.679 0.689
Sm2 0.821 0.990 0.311
Sm3 0.000 0.000 0.000
Sm4 0.500 0.500 0.000
Sm5 0.179 0.010 0.689
Sm6 0.679 0.179 0.689
Sm7 0.010 0.510 0.689
Sm8 0.321 0.821 0.311
Sm9 0.990 0.490 0.311
Sm10 0.490 0.321 0.311
Cd1 0.128 0.372 0.000
Cd2 0.628 0.128 0.000
Cd3 0.372 0.872 0.000
Cd4 0.872 0.628 0.000
Hg1 0.750 0.750 0.500
Hg2 0.250 0.250 0.500

Values from the calculation:
Final energy ... -54.83 eV for the cell shown
Formation energy from the elements ... -0.21 eV/atom
Density of states at the Fermi level ... 8.696 states/eV/f.u.

(3)
Below is a relaxed SmCd4Hg4 crystal, with properties calculated at the GGA-PBE level.

a b c (Å): 4.364 7.397 7.397
angles (deg): 85.01 72.85 72.85
Sites, in units of the cell vectors:
Sm1 0.000 0.000 0.000
Cd1 0.000 0.662 0.339
Cd2 0.000 0.338 0.661
Cd3 0.661 0.339 0.338
Cd4 0.339 0.661 0.662
Hg1 0.330 0.340 0.000
Hg2 0.670 0.660 0.000
Hg3 0.670 0.000 0.660
Hg4 0.330 0.000 0.340

Values from the calculation:
Final energy ... -10.96 eV for the cell shown
Formation energy from the elements ... -0.15 eV/atom
Density of states at the Fermi level ... 4.163 states/eV/f.u.

(4)
Below is a relaxed Sm4CdHg crystal, with properties calculated at the GGA-PBE level.

a b c (Å): 3.702 3.702 13.020
angles (deg): 90.00 90.00 90.00
Sites, in units of the cell vectors:
Sm1 0.500 0.500 0.844
Sm2 0.500 0.500 0.156
Sm3 0.000 0.000 0.653
Sm4 0.000 0.000 0.347
Cd1 0.000 0.000 0.000
Hg1 0.500 0.500 0.500

Values from the calculation:
Final energy ... -21.59 eV for the cell shown
Formation energy from the elements ... -0.25 eV/atom
Density of states at the Fermi level ... 8.700 states/eV/f.u.

(5)
Below is a relaxed SmCd2Hg5 crystal, with properties calculated at the GGA-PBE level.

a b c (Å): 7.314 10.055 10.787
angles (deg): 90.00 90.00 90.00
Sites, in units of the cell vectors:
Sm1 0.500 0.499 0.741
Sm2 0.500 0.501 0.259
Sm3 0.500 0.001 0.241
Sm4 0.500 0.999 0.759
Cd1 0.000 0.996 0.754
Cd2 0.000 0.004 0.246
Cd3 0.000 0.504 0.254
Cd4 0.000 0.496 0.746
Cd5 0.765 0.000 0.500
Cd6 0.235 0.500 0.000
Cd7 0.235 0.000 0.500
Cd8 0.765 0.500 0.000
Hg1 0.756 0.245 0.684
Hg2 0.756 0.755 0.316
Hg3 0.244 0.255 0.184
Hg4 0.244 0.745 0.816
Hg5 0.244 0.755 0.316
Hg6 0.244 0.245 0.684
Hg7 0.756 0.745 0.816
Hg8 0.756 0.255 0.184
Hg9 0.500 0.261 0.939
Hg10 0.500 0.739 0.061
Hg11 0.500 0.239 0.439
Hg12 0.500 0.761 0.561
Hg13 0.000 0.253 0.931
Hg14 0.000 0.747 0.069
Hg15 0.000 0.247 0.431
Hg16 0.000 0.753 0.569
Hg17 0.758 0.000 0.000
Hg18 0.242 0.500 0.500
Hg19 0.242 0.000 0.000
Hg20 0.758 0.500 0.500

Values from the calculation:
Final energy ... -37.63 eV for the cell shown
Formation energy from the elements ... -0.17 eV/atom
Density of states at the Fermi level ... 2.252 states/eV/f.u.

(6)
Below is a relaxed Sm4Cd3Hg5 crystal, with properties calculated at the GGA-PBE level.

a b c (Å): 5.259 6.413 11.414
angles (deg): 67.54 76.68 65.80
Sites, in units of the cell vectors:
Sm1 0.851 0.494 0.804
Sm2 0.235 0.923 0.607
Sm3 0.765 0.077 0.393
Sm4 0.149 0.506 0.196
Cd1 0.415 0.910 0.261
Cd2 0.000 0.500 0.500
Cd3 0.585 0.090 0.739
Hg1 0.369 0.308 0.953
Hg2 0.500 0.500 0.500
Hg3 0.107 0.898 0.889
Hg4 0.893 0.102 0.111
Hg5 0.631 0.692 0.047

Values from the calculation:
Final energy ... -24.95 eV for the cell shown
Formation energy from the elements ... -0.15 eV/atom
Density of states at the Fermi level ... 10.012 states/eV/f.u.

(7)
Below is a relaxed Sm3CdHg crystal, with properties calculated at the GGA-PBE level.

a b c (Å): 5.353 5.352 10.431
angles (deg): 90.00 75.13 90.00
Sites, in units of the cell vectors:
Sm1 0.764 0.250 0.121
Sm2 0.386 0.250 0.876
Sm3 0.574 0.250 0.499
Sm4 0.262 0.750 0.124
Sm5 0.885 0.750 0.879
Sm6 0.074 0.750 0.501
Cd1 0.671 0.750 0.306
Cd2 0.977 0.250 0.694
Hg1 0.478 0.750 0.693
Hg2 0.171 0.250 0.307

Values from the calculation:
Final energy ... -33.74 eV for the cell shown
Formation energy from the elements ... -0.30 eV/atom
Density of states at the Fermi level ... 6.375 states/eV/f.u.

(8)
Below is a relaxed Sm3Cd4Hg2 crystal, with properties calculated at the GGA-PBE level.

a b c (Å): 5.028 6.101 9.348
angles (deg): 116.60 90.00 114.34
Sites, in units of the cell vectors:
Sm1 0.669 0.338 0.665
Sm2 0.000 0.000 0.000
Sm3 0.331 0.662 0.335
Cd1 0.725 0.450 0.056
Cd2 0.275 0.550 0.944
Cd3 0.949 0.899 0.615
Cd4 0.051 0.101 0.385
Hg1 0.610 0.220 0.276
Hg2 0.390 0.780 0.724

Values from the calculation:
Final energy ... -21.81 eV for the cell shown
Formation energy from the elements ... -0.38 eV/atom
Density of states at the Fermi level ... 6.592 states/eV/f.u.

(9)
Below is a relaxed SmCd2Hg8 crystal, with properties calculated at the GGA-PBE level.

a b c (Å): 4.597 9.672 8.115
angles (deg): 53.42 89.92 89.86
Sites, in units of the cell vectors:
Sm1 0.500 0.000 0.000
Cd1 0.000 0.385 0.230
Cd2 0.000 0.615 0.770
Hg1 0.998 0.040 0.275
Hg2 0.998 0.315 0.725
Hg3 0.499 0.327 0.000
Hg4 0.500 0.756 0.487
Hg5 0.500 0.244 0.513
Hg6 0.501 0.673 0.000
Hg7 0.002 0.685 0.275
Hg8 0.002 0.960 0.725

Values from the calculation:
Final energy ... -10.03 eV for the cell shown
Formation energy from the elements ... -0.10 eV/atom
Density of states at the Fermi level ... 4.283 states/eV/f.u.

(10)
Below is a relaxed Sm6CdHg5 crystal, with properties calculated at the GGA-PBE level.

a b c (Å): 5.348 7.650 8.459
angles (deg): 90.00 108.38 90.00
Sites, in units of the cell vectors:
Hg1 0.665 0.500 0.332
Hg2 0.338 0.000 0.674
Hg3 0.000 0.500 0.000
Hg4 0.662 0.000 0.326
Hg5 0.335 0.500 0.668
Sm1 0.833 0.750 0.664
Sm2 0.833 0.250 0.664
Sm3 0.500 0.252 0.000
Sm4 0.500 0.748 0.000
Sm5 0.167 0.750 0.336
Sm6 0.167 0.250 0.336
Cd1 0.000 0.000 0.000

Values from the calculation:
Final energy ... -36.08 eV for the cell shown
Formation energy from the elements ... -0.45 eV/atom
Density of states at the Fermi level ... 15.062 states/eV/f.u.

(11)
Below is a relaxed SmCdHg crystal, with properties calculated at the GGA-PBE level.

a b c (Å): 4.952 4.952 4.952
angles (deg): 60.00 60.00 60.00
Sites, in units of the cell vectors:
Hg1 0.250 0.250 0.250
Sm1 0.000 0.000 0.000
Cd1 0.500 0.500 0.500

Values from the calculation:
Final energy ... -6.72 eV for the cell shown
Formation energy from the elements ... -0.26 eV/atom
Density of states at the Fermi level ... 5.385 states/eV/f.u.

(12)
Below is a relaxed SmCd3Hg3 crystal, with properties calculated at the GGA-PBE level.

a b c (Å): 7.733 7.733 7.733
angles (deg): 90.00 90.00 90.00
Sites, in units of the cell vectors:
Hg1 0.250 0.000 0.500
Hg2 0.000 0.500 0.250
Hg3 0.500 0.750 0.000
Hg4 0.750 0.000 0.500
Hg5 0.000 0.500 0.750
Hg6 0.500 0.250 0.000
Sm1 0.500 0.500 0.500
Sm2 0.000 0.000 0.000
Cd1 0.000 0.250 0.500
Cd2 0.000 0.750 0.500
Cd3 0.500 0.000 0.750
Cd4 0.750 0.500 0.000
Cd5 0.500 0.000 0.250
Cd6 0.250 0.500 0.000

Values from the calculation:
Final energy ... -11.50 eV for the cell shown
Formation energy from the elements ... 0.37 eV/atom
Density of states at the Fermi level ... 6.491 states/eV/f.u.